Entry 1:
A relaxed LiLaAlHg2 crystal, computed with GGA-PBE.

Cell: 6.0265 5.9165 6.0265 Å, 90.00 90.00 90.00°
With the nearest neighbours (Å) after each atom.
Sites, in units of the cell vectors:
La (0.0000, 0.0000, 0.0000)  2 Al 2.96, 4 Hg 3.01
Al (0.0000, 0.5000, 0.0000)  2 La 2.96
Hg (0.5000, 0.0000, 0.0000)  2 La 3.01
Hg (0.0000, 0.0000, 0.5000)  2 La 3.01
Li (0.5000, 0.5000, 0.5000)  8 Hg 4.22, 4 Al 4.26

Calculated values
E_tot: -8.5 eV for the cell shown
energy relative to the elements: 0.545 eV/atom

---

Entry 2:
A relaxed CsBa3Cu4Br12 crystal, computed with GGA-PBE.

Cell: 9.9008 9.9008 9.9008 Å, 103.32 103.32 103.32°
With the nearest neighbours (Å) after each atom.
Sites, in units of the cell vectors:
Br (0.3616, 0.9962, 0.2102)  1 Cu 2.33
Br (0.6384, 0.7898, 0.0038)  1 Cu 2.33
Br (0.1025, 0.8975, 0.5000)  1 Cu 2.43
Br (0.6519, 0.5000, 0.3481)  1 Cu 2.36
Br (0.8975, 0.5000, 0.1025)  1 Cu 2.43
Br (0.7898, 0.0038, 0.6384)  1 Cu 2.33
Br (0.2102, 0.3616, 0.9962)  1 Cu 2.33
Br (0.0038, 0.6384, 0.7898)  1 Cu 2.33
Br (0.9962, 0.2102, 0.3616)  1 Cu 2.33
Br (0.3481, 0.6519, 0.5000)  1 Cu 2.36
Br (0.5000, 0.1025, 0.8975)  1 Cu 2.43
Br (0.5000, 0.3481, 0.6519)  1 Cu 2.36
Cu (0.5000, 0.9460, 0.0540)  3 Br 2.33-2.43
Cu (0.9460, 0.0540, 0.5000)  3 Br 2.33-2.43
Cu (0.0540, 0.5000, 0.9460)  3 Br 2.33-2.43
Cu (0.5000, 0.5000, 0.5000)  3 Br 2.36
Cs (0.0000, 0.0000, 0.0000)  6 Br 3.72
Ba (0.4550, 0.0000, 0.5450)  6 Br 3.22-3.29
Ba (0.0000, 0.5450, 0.4550)  6 Br 3.22-3.29
Ba (0.5450, 0.4550, 0.0000)  6 Br 3.22-3.29

Calculated values
E_tot: -68.1 eV for the cell shown
formation energy without anion corrections: -120.8 kJ per mole of atoms

---

Entry 3:
A relaxed Tb2SmRu2 crystal, computed with GGA-PBE.

Cell: 3.4063 3.4235 10.5279 Å, 80.64 90.00 90.00°
With the nearest neighbours (Å) after each atom.
Sites, in units of the cell vectors:
Ru (0.5000, 0.5897, 0.8207)  4 Tb 2.88, 4 Sm 3.05
Ru (0.5000, 0.4103, 0.1793)  4 Tb 2.88, 4 Sm 3.05
Tb (0.0000, 0.1654, 0.6692)  4 Ru 2.88
Tb (0.0000, 0.8346, 0.3308)  4 Ru 2.88
Sm (0.0000, 0.0000, 0.0000)  8 Ru 3.05, 2 Sm 3.41

Calculated values
E_tot: -33.7 eV for the cell shown
offset from the most stable computed form: 0.000 eV/atom
energy relative to the elements: -0.241 eV/atom

---

Entry 4:
A relaxed ScAs3F crystal, computed with GGA-PBE.

Cell: 5.0336 5.0336 5.0336 Å, 90.00 90.00 90.00°
With the nearest neighbours (Å) after each atom.
Sites, in units of the cell vectors:
As (0.0000, 0.5000, 0.0000)  2 Sc 2.52
As (0.5000, 0.0000, 0.0000)  2 Sc 2.52
As (0.0000, 0.0000, 0.5000)  2 Sc 2.52
F (0.5000, 0.5000, 0.5000)  12 As 3.56
Sc (0.0000, 0.0000, 0.0000)  6 As 2.52

Calculated values
E_tot: -21.8 eV for the cell shown
offset from the most stable computed form: 0.387 eV/atom
formation energy without anion corrections: 7.2 kJ per mole of atoms

---

Entry 5:
A relaxed NiPW3 crystal, computed with GGA-PBE.

Cell: 4.4138 4.4138 4.4138 Å, 90.00 90.00 90.00°
With the nearest neighbours (Å) after each atom.
Sites, in units of the cell vectors:
W (0.0000, 0.0000, 0.5000)  2 P 2.21
W (0.0000, 0.5000, 0.0000)  2 P 2.21
W (0.5000, 0.0000, 0.0000)  2 P 2.21
Ni (0.5000, 0.5000, 0.5000)  12 W 3.12
P (0.0000, 0.0000, 0.0000)  6 W 2.21

Calculated values
E_tot: -44.3 eV for the cell shown
energy relative to the elements: 1.142 eV/atom

---

Entry 6:
A relaxed YErAg crystal, computed with GGA-PBE.

Cell: 5.0122 7.0656 10.0318 Å, 90.00 90.00 90.00°
With the nearest neighbours (Å) after each atom.
Sites, in units of the cell vectors:
Ag (0.7500, 0.7546, 0.8748)  4 Er 3.00-3.08, 4 Y 3.05-3.14
Ag (0.7500, 0.7454, 0.3748)  4 Er 3.00-3.08, 4 Y 3.05-3.14
Ag (0.2500, 0.2546, 0.6252)  4 Er 3.00-3.08, 4 Y 3.05-3.14
Ag (0.2500, 0.2454, 0.1252)  4 Er 3.00-3.08, 4 Y 3.05-3.14
Y (0.2500, 0.9925, 0.3727)  4 Ag 3.05-3.14
Y (0.7500, 0.0075, 0.6273)  4 Ag 3.05-3.14
Y (0.7500, 0.4925, 0.1273)  4 Ag 3.05-3.14
Y (0.2500, 0.5075, 0.8727)  4 Ag 3.05-3.14
Er (0.2500, 0.4924, 0.3772)  4 Ag 3.00-3.08
Er (0.7500, 0.5076, 0.6228)  4 Ag 3.00-3.08
Er (0.7500, 0.9924, 0.1228)  4 Ag 3.00-3.08
Er (0.2500, 0.0076, 0.8772)  4 Ag 3.00-3.08

Calculated values
E_tot: -55.1 eV for the cell shown
offset from the most stable computed form: 0.253 eV/atom
energy relative to the elements: 0.034 eV/atom

---

Entry 7:
A relaxed TbPm5Nd3 crystal, computed with GGA-PBE.

Cell: 8.5996 8.5996 14.8502 Å, 52.73 52.73 59.43°
With the nearest neighbours (Å) after each atom.
Sites, in units of the cell vectors:
Pm (0.3608, 0.9764, 0.2147)  2 Nd 3.19-3.48, 4 Pm 3.28-3.56, 1 Tb 3.37
Pm (0.5607, 0.5607, 0.5692)  3 Nd 3.17-3.33
Pm (0.9764, 0.3608, 0.2147)  2 Nd 3.19-3.48, 4 Pm 3.28-3.56, 1 Tb 3.37
Pm (0.3082, 0.3082, 0.9379)  4 Pm 3.32-3.46, 1 Nd 3.69
Pm (0.4393, 0.4393, 0.4308)  3 Nd 3.17-3.33
Pm (0.0236, 0.6392, 0.7853)  2 Nd 3.19-3.48, 4 Pm 3.28-3.56, 1 Tb 3.37
Pm (0.3281, 0.6719, 0.0000)  1 Nd 2.80, 1 Pm 2.93
Pm (0.6918, 0.6918, 0.0621)  4 Pm 3.32-3.46, 1 Nd 3.69
Pm (0.6719, 0.3281, 0.0000)  1 Nd 2.80, 1 Pm 2.93
Pm (0.6392, 0.0236, 0.7853)  2 Nd 3.19-3.48, 4 Pm 3.28-3.56, 1 Tb 3.37
Nd (0.0000, 0.0000, 0.0000)  2 Pm 2.80, 2 Nd 3.09
Nd (0.3212, 0.3212, 0.3067)  3 Pm 3.32-3.61, 1 Nd 3.47
Nd (0.7413, 0.7413, 0.2734)  1 Nd 3.09, 1 Tb 3.11, 4 Pm 3.17-3.33
Nd (0.6788, 0.6788, 0.6933)  3 Pm 3.32-3.61, 1 Nd 3.47
Nd (0.0000, 0.0000, 0.5000)  2 Nd 3.47, 4 Pm 3.48, 2 Tb 3.67
Nd (0.2587, 0.2587, 0.7266)  1 Nd 3.09, 1 Tb 3.11, 4 Pm 3.17-3.33
Tb (0.0884, 0.0884, 0.6765)  1 Nd 3.11, 2 Pm 3.37
Tb (0.9116, 0.9116, 0.3235)  1 Nd 3.11, 2 Pm 3.37

Calculated values
E_tot: -76.6 eV for the cell shown
offset from the most stable computed form: 0.354 eV/atom
energy relative to the elements: 0.486 eV/atom

---

Entry 8:
A relaxed POs2Br crystal, computed with GGA-PBE.

Cell: 5.3856 5.3856 6.7099 Å, 66.34 66.34 90.00°
With the nearest neighbours (Å) after each atom.
Sites, in units of the cell vectors:
Br (0.7500, 0.2500, 0.5000)  4 Os 2.50
Br (0.0000, 0.0000, 0.0000)  4 Os 2.50
Os (0.5802, 0.1250, 0.2500)  2 P 2.22
Os (0.8750, 0.8302, 0.7500)  2 P 2.22
Os (0.1698, 0.6250, 0.2500)  2 P 2.22
Os (0.3750, 0.4198, 0.7500)  2 P 2.22
P (0.2500, 0.7500, 0.5000)  4 Os 2.22
P (0.5000, 0.5000, 0.0000)  4 Os 2.22

Calculated values
E_tot: -52.5 eV for the cell shown
offset from the most stable computed form: 0.430 eV/atom
formation energy without anion corrections: 79.6 kJ per mole of atoms

---

Entry 9:
A relaxed TbDyCu10 crystal, computed with GGA-PBE.

Cell: 4.1037 5.0532 8.6733 Å, 90.00 90.00 90.00°
With the nearest neighbours (Å) after each atom.
Sites, in units of the cell vectors:
Dy (0.0000, 0.0000, 0.0000)  6 Cu 2.89-2.91
Cu (0.5000, 0.0000, 0.5000)  8 Cu 2.51
Cu (0.0000, 0.0000, 0.6670)  6 Cu 2.51-2.52
Cu (0.5000, 0.7503, 0.7504)  8 Cu 2.51-2.53
Cu (0.0000, 0.5000, 0.1661)  6 Cu 2.51-2.52
Cu (0.0000, 0.5000, 0.8339)  6 Cu 2.51-2.52
Cu (0.5000, 0.2497, 0.7504)  8 Cu 2.51-2.53
Cu (0.5000, 0.2497, 0.2496)  8 Cu 2.51-2.53
Cu (0.0000, 0.0000, 0.3330)  6 Cu 2.51-2.52
Cu (0.5000, 0.7503, 0.2496)  8 Cu 2.51-2.53
Cu (0.5000, 0.5000, 0.0000)  8 Cu 2.51
Tb (0.0000, 0.5000, 0.5000)  6 Cu 2.90-2.91

Calculated values
E_tot: -52.5 eV for the cell shown
energy relative to the elements: -0.193 eV/atom

---

Entry 10:
A relaxed Mg3GaIr crystal, computed with GGA-PBE.

Cell: 4.9814 4.9814 4.9814 Å, 90.00 90.00 90.00°
With the nearest neighbours (Å) after each atom.
Sites, in units of the cell vectors:
Ga (0.5000, 0.5000, 0.5000)  12 Mg 3.52
Mg (0.5000, 0.0000, 0.0000)  2 Ir 2.49
Mg (0.0000, 0.5000, 0.0000)  2 Ir 2.49
Mg (0.0000, 0.0000, 0.5000)  2 Ir 2.49
Ir (0.0000, 0.0000, 0.0000)  6 Mg 2.49

Calculated values
E_tot: -16.3 eV for the cell shown
offset from the most stable computed form: 0.373 eV/atom
energy relative to the elements: 0.074 eV/atom

---

Entry 11:
A relaxed Cr2RuPb crystal, computed with GGA-PBE.

Cell: 4.5361 4.5361 4.5361 Å, 60.00 60.00 60.00°
With the nearest neighbours (Å) after each atom.
Sites, in units of the cell vectors:
Cr (0.2500, 0.2500, 0.2500)  4 Cr 2.78, 4 Pb 2.78
Cr (0.0000, 0.0000, 0.0000)  4 Cr 2.78, 4 Ru 2.78
Pb (0.5000, 0.5000, 0.5000)  4 Cr 2.78, 4 Ru 2.78
Ru (0.7500, 0.7500, 0.7500)  4 Cr 2.78, 4 Pb 2.78

Calculated values
E_tot: -29.8 eV for the cell shown
energy relative to the elements: 0.599 eV/atom

---

Entry 12:
A relaxed CaEuH crystal, computed with GGA-PBE.

Cell: 3.7893 3.7893 6.1430 Å, 90.00 90.00 120.00°
With the nearest neighbours (Å) after each atom.
Sites, in units of the cell vectors:
H (0.3333, 0.6667, 0.6698)  3 Eu 2.62, 3 Ca 2.65
Ca (0.6667, 0.3333, 0.4270)  3 H 2.65
Eu (0.0000, 0.0000, 0.9032)  3 H 2.62

Calculated values
E_tot: -16.2 eV for the cell shown
offset from the most stable computed form: 0.000 eV/atom